(1)
4
Lattice="-7.874 2.301 3.964 -7.965 -0.417 4.404 -6.605 1.217 6.157" Properties=species:S:1:pos:R:3 comment="MoIr2Rh PBE optimized geometry" magnetic_moment_mub_per_cell=0.0 final_energy_ev_per_atom=-9.0200 space_group="R3m, No. 160" e_above_lowest_polymorph_ev_per_atom=0.201 pbc="T T T"
Ir -0.001 0.000 0.001
Ir -5.601 0.774 3.625
Mo -11.219 1.550 7.260
Rh -16.845 2.327 10.901

(2)
8
Lattice="4.300 0.001 0.000 -2.149 5.992 0.000 0.000 0.000 8.816" Properties=species:S:1:pos:R:3 comment="PmTm2Ga PBE optimized geometry" magnetic_moment_mub_per_cell=0.0 final_energy_ev_per_atom=-4.4316 space_group="Cmcm, No. 63" e_above_lowest_polymorph_ev_per_atom=0.041 pbc="T T T"
Pm 2.151 5.288 2.204
Pm 0.000 0.705 6.612
Tm 0.000 4.255 4.902
Tm 2.150 1.737 3.913
Tm 0.000 4.255 8.321
Tm 2.150 1.737 0.495
Ga 2.149 3.022 6.612
Ga 0.001 2.970 2.204

(3)
16
Lattice="4.670 0.000 0.000 -2.335 9.002 0.000 0.000 0.000 9.344" Properties=species:S:1:pos:R:3 comment="Ba2Ga5Pt PBE optimized geometry" magnetic_moment_mub_per_cell=0.0 final_energy_ev_per_atom=-3.6495 space_group="Cmcm, No. 63" e_above_lowest_polymorph_ev_per_atom=0.000 pbc="T T T"
Ba 2.335 5.326 7.008
Ba 0.000 3.676 2.336
Ba 0.000 0.000 0.000
Ba 0.000 0.000 4.672
Ga 0.000 3.290 8.318
Ga 2.335 5.712 1.027
Ga 0.000 3.290 5.699
Ga 2.335 5.712 3.646
Ga 0.000 6.435 9.166
Ga 2.335 2.567 0.178
Ga 0.000 6.435 4.850
Ga 2.335 2.567 4.494
Ga 2.335 1.415 7.008
Ga 0.000 7.587 2.336
Pt 0.000 7.857 7.008
Pt 2.335 1.145 2.336